Sm2ZrTe2N2 after structural relaxation, computed with PBE-GGA.

Lattice parameters (Å, degrees): 8.8548 8.8548 8.8548 151.95 151.95 40.09
Fractional positions:
1 Sm 0.1003 0.1003 0.0000
2 Sm 0.8997 0.8997 0.0000
3 Zr 0.5000 0.5000 0.0000
4 Te 0.3200 0.3200 0.0000
5 Te 0.6800 0.6800 0.0000
6 N 0.0000 0.5000 0.5000
7 N 0.5000 0.0000 0.5000

Properties
The space group is No. 139. The value obtained for the total magnetization is 0.000 Bohr magnetons per cell. As for the total energy: -7.255 eV/atom. The calculation puts the formation energy (no corrections) at -1410 meV/atom.